# 1
Density functional theory data (GGA-PBE) for crystalline SrAu4Se at its relaxed geometry.

Cell lengths 5.6864, 5.6864, 5.6864 Å; angles 60.00, 60.00, 60.00 degrees
With the nearest neighbours (Å) after each atom.
Atoms (fractional coordinates):
Au: 0.3751 0.8748 0.3751  6 Au 2.84
Au: 0.3751 0.3751 0.8748  6 Au 2.84
Au: 0.3751 0.3751 0.3751  6 Au 2.84
Au: 0.8748 0.3751 0.3751  6 Au 2.84
Se: 0.7500 0.7500 0.7500  12 Au 3.33, 4 Sr 3.48
Sr: 0.0000 0.0000 0.0000  12 Au 3.33, 4 Se 3.48

## Properties
formation energy without anion corrections = -0.48 eV/atom
total energy = -3.52 eV per atom
SG = F-43m, No. 216


# 2
Density functional theory data (GGA-PBE) for crystalline MgBeW2 at its relaxed geometry.

Cell lengths 4.3447, 4.3447, 4.3447 Å; angles 60.00, 60.00, 60.00 degrees
With the nearest neighbours (Å) after each atom.
Atoms (fractional coordinates):
W: 0.7500 0.7500 0.7500  4 Mg 2.66, 4 Be 2.66
Be: 0.0000 0.0000 0.0000  8 W 2.66
W: 0.2500 0.2500 0.2500  4 Mg 2.66, 4 Be 2.66
Mg: 0.5000 0.5000 0.5000  8 W 2.66

## Properties
E above lowest polymorph = 590 meV/atom
total energy = -6.92 eV per atom
SG = Fm-3m, No. 225


# 3
Density functional theory data (GGA-PBE) for crystalline MgNi6P3 at its relaxed geometry.

Cell lengths 5.7347, 6.6621, 6.6621 Å; angles 105.02, 90.00, 90.00 degrees
With the nearest neighbours (Å) after each atom.
Atoms (fractional coordinates):
Ni: 0.6488 0.2830 0.3543  4 P 2.23-2.31
P: 0.9500 0.0630 0.2896  7 Ni 2.23-2.39
Ni: 0.2873 0.0705 0.4657  3 P 2.25-2.28
Mg: 0.0403 0.2103 0.7897  7 Ni 2.55-2.70, 1 P 2.83
P: 0.3494 0.4190 0.5810  7 Ni 2.18-2.31
Ni: 0.5855 0.2578 0.7422  3 P 2.18-2.23
Ni: 0.7873 0.4657 0.0705  3 P 2.25-2.28
Ni: 0.6488 0.6457 0.7170  4 P 2.23-2.31
P: 0.4500 0.9370 0.7104  7 Ni 2.23-2.39
Ni: 0.7873 0.9295 0.5343  3 P 2.25-2.28
P: 0.9500 0.7104 0.9370  7 Ni 2.23-2.39
Ni: 0.1488 0.3543 0.2830  4 P 2.23-2.31
P: 0.8494 0.5810 0.4190  7 Ni 2.18-2.31
Ni: 0.2380 0.9784 0.0216  4 P 2.36-2.39
Ni: 0.1488 0.7170 0.6457  4 P 2.23-2.31
Mg: 0.5403 0.7897 0.2103  7 Ni 2.55-2.70, 1 P 2.83
Ni: 0.7380 0.0216 0.9784  4 P 2.36-2.39
Ni: 0.2873 0.5343 0.9295  3 P 2.25-2.28
Ni: 0.0855 0.7422 0.2578  3 P 2.18-2.23
P: 0.4500 0.2896 0.0630  7 Ni 2.23-2.39

## Properties
total energy = -5.71 eV per atom
SG = Cmc2_1, No. 36


# 4
Density functional theory data (GGA-PBE) for crystalline Cr4OsSe at its relaxed geometry.

Cell lengths 4.8015, 4.8015, 4.8015 Å; angles 60.00, 60.00, 60.00 degrees
With the nearest neighbours (Å) after each atom.
Atoms (fractional coordinates):
Os: 0.7500 0.7500 0.7500  12 Cr 2.82, 4 Se 2.94
Cr: 0.8789 0.3737 0.3737  6 Cr 2.38-2.43
Cr: 0.3737 0.3737 0.3737  6 Cr 2.38-2.43
Cr: 0.3737 0.8789 0.3737  6 Cr 2.38-2.43
Se: 0.0000 0.0000 0.0000  12 Cr 2.81, 4 Os 2.94
Cr: 0.3737 0.3737 0.8789  6 Cr 2.38-2.43

## Properties
formation energy without anion corrections = 0.52 eV/atom
total energy = -8.34 eV per atom
SG = F-43m, No. 216


# 5
Density functional theory data (GGA-PBE) for crystalline NdTh2Ag2Sn2 at its relaxed geometry.

Cell lengths 4.8607, 4.8607, 9.7307 Å; angles 75.54, 75.54, 60.00 degrees
With the nearest neighbours (Å) after each atom.
Atoms (fractional coordinates):
Nd: 0.0000 0.0000 0.0000  6 Sn 3.39, 6 Ag 3.52, 2 Th 3.68
Th: 0.8684 0.8684 0.3948  3 Ag 3.20, 3 Sn 3.32, 3 Th 3.42
Sn: 0.2654 0.2654 0.2038  3 Ag 2.82
Sn: 0.7346 0.7346 0.7962  3 Ag 2.82
Ag: 0.5904 0.5904 0.2287  3 Sn 2.82
Ag: 0.4096 0.4096 0.7713  3 Sn 2.82
Th: 0.1316 0.1316 0.6052  3 Ag 3.20, 3 Sn 3.32, 3 Th 3.42

## Properties
total energy = -4.98 eV per atom
SG = R-3m, No. 166


# 6
Density functional theory data (GGA-PBE) for crystalline Ac4Ir2PdPt at its relaxed geometry.

Cell lengths 4.3691, 7.5372, 7.5442 Å; angles 109.49, 90.00, 90.00 degrees
With the nearest neighbours (Å) after each atom.
Atoms (fractional coordinates):
Ac: 0.0000 0.2429 0.7355  3 Ir 3.02-3.03, 1 Pt 3.13, 2 Pd 3.15
Ac: 0.5000 0.2521 0.2627  3 Ir 3.01-3.04, 2 Pt 3.13, 1 Pd 3.14
Ac: 0.0000 0.7571 0.2645  3 Ir 3.02-3.03, 1 Pt 3.13, 2 Pd 3.15
Pd: 0.5000 0.5000 0.0000  6 Ac 3.14-3.15
Pt: 0.0000 0.0000 0.0000  6 Ac 3.13
Ir: 0.0000 0.5000 0.5000  6 Ac 3.03-3.04
Ac: 0.5000 0.7479 0.7373  3 Ir 3.01-3.04, 2 Pt 3.13, 1 Pd 3.14
Ir: 0.5000 0.0000 0.5000  6 Ac 3.01-3.02

## Properties
total energy = -6.44 eV per atom
SG = P2/m, No. 10


# 7
Density functional theory data (GGA-PBE) for crystalline CaSi2Ni6 at its relaxed geometry.

Cell lengths 3.8827, 6.1269, 6.1269 Å; angles 69.45, 71.49, 71.49 degrees
With the nearest neighbours (Å) after each atom.
Atoms (fractional coordinates):
Ni: 0.5000 0.3097 0.6903  2 Si 2.24
Ni: 0.8071 0.5101 0.8757  3 Si 2.32-2.45, 3 Ni 2.40-2.55
Si: 0.6935 0.3065 0.3065  8 Ni 2.24-2.45
Si: 0.3065 0.6935 0.6935  8 Ni 2.24-2.45
Ca: 0.0000 0.0000 0.0000  2 Si 2.85, 8 Ni 2.85-2.91
Ni: 0.5000 0.6903 0.3097  2 Si 2.24
Ni: 0.1929 0.1243 0.4899  3 Si 2.32-2.45, 3 Ni 2.40-2.55
Ni: 0.1929 0.4899 0.1243  3 Si 2.32-2.45, 3 Ni 2.40-2.55
Ni: 0.8071 0.8757 0.5101  3 Si 2.32-2.45, 3 Ni 2.40-2.55

## Properties
formation energy without anion corrections = -0.25 eV/atom
E above lowest polymorph = 0 meV/atom
total energy = -5.53 eV per atom
SG = Immm, No. 71


# 8
Density functional theory data (GGA-PBE) for crystalline CoWCl2 at its relaxed geometry.

Cell lengths 3.0529, 3.0531, 6.0325 Å; angles 90.00, 90.00, 90.00 degrees
With the nearest neighbours (Å) after each atom.
Atoms (fractional coordinates):
Cl: 0.0000 0.0000 0.0041  4 Co 2.62, 4 W 2.65
Cl: 0.0000 0.0000 0.4959  4 Co 2.62, 4 W 2.65
Co: 0.5000 0.5000 0.2500  8 Cl 2.62
W: 0.5000 0.5000 0.7500  8 Cl 2.65

## Properties
formation energy without anion corrections = 1.02 eV/atom
E above lowest polymorph = 1145 meV/atom
total energy = -4.92 eV per atom
SG = P4/mmm, No. 123


# 9
Density functional theory data (GGA-PBE) for crystalline BeReNi6 at its relaxed geometry.

Cell lengths 6.1200, 6.1200, 10.0307 Å; angles 90.00, 90.00, 109.93 degrees
With the nearest neighbours (Å) after each atom.
Atoms (fractional coordinates):
Re: 0.7526 0.2474 0.2500  12 Ni 2.48-2.54
Ni: 0.8708 0.6199 0.8724  3 Be 2.42-2.49, 8 Ni 2.46-2.52, 1 Re 2.48
Ni: 0.5000 0.5000 0.2500  8 Ni 2.49, 2 Re 2.53, 2 Be 2.64
Be: 0.2431 0.7569 0.7500  12 Ni 2.44-2.57
Re: 0.2474 0.7526 0.2500  12 Ni 2.48-2.54
Ni: 0.8695 0.6219 0.3787  8 Ni 2.48-2.58, 3 Re 2.51-2.54, 1 Be 2.52
Be: 0.7569 0.2431 0.7500  12 Ni 2.44-2.57
Ni: 0.7496 0.2504 0.5030  8 Ni 2.47-2.52, 2 Be 2.48-2.50, 2 Re 2.51-2.54
Ni: 0.8708 0.6199 0.6276  3 Be 2.42-2.49, 8 Ni 2.46-2.52, 1 Re 2.48
Ni: 0.3801 0.1292 0.6276  3 Be 2.42-2.49, 8 Ni 2.46-2.52, 1 Re 2.48
Ni: 0.2504 0.7496 0.5030  8 Ni 2.47-2.52, 2 Be 2.48-2.50, 2 Re 2.51-2.54
Re: 0.0000 0.0000 0.9899  12 Ni 2.41-2.61
Ni: 0.7496 0.2504 0.9970  8 Ni 2.47-2.52, 2 Be 2.48-2.50, 2 Re 2.51-2.54
Ni: 0.2504 0.7496 0.9970  8 Ni 2.47-2.52, 2 Be 2.48-2.50, 2 Re 2.51-2.54
Ni: 0.6199 0.8708 0.6276  3 Be 2.42-2.49, 8 Ni 2.46-2.52, 1 Re 2.48
Ni: 0.3781 0.1305 0.3787  8 Ni 2.48-2.58, 3 Re 2.51-2.54, 1 Be 2.52
Ni: 0.1305 0.3781 0.1213  8 Ni 2.48-2.58, 3 Re 2.51-2.54, 1 Be 2.52
Ni: 0.5000 0.5000 0.7500  4 Be 2.38-2.57, 8 Ni 2.46
Ni: 0.6219 0.8695 0.3787  8 Ni 2.48-2.58, 3 Re 2.51-2.54, 1 Be 2.52
Re: 0.0000 0.0000 0.5101  12 Ni 2.41-2.61
Ni: 0.0000 0.0000 0.2500  4 Re 2.48-2.61, 8 Ni 2.53
Be: 0.5000 0.5000 0.9872  12 Ni 2.38-2.64
Ni: 0.8695 0.6219 0.1213  8 Ni 2.48-2.58, 3 Re 2.51-2.54, 1 Be 2.52
Ni: 0.0000 0.0000 0.7500  2 Re 2.41, 2 Be 2.44, 8 Ni 2.51
Be: 0.5000 0.5000 0.5128  12 Ni 2.38-2.64
Ni: 0.6219 0.8695 0.1213  8 Ni 2.48-2.58, 3 Re 2.51-2.54, 1 Be 2.52
Ni: 0.3781 0.1305 0.1213  8 Ni 2.48-2.58, 3 Re 2.51-2.54, 1 Be 2.52
Ni: 0.3801 0.1292 0.8724  3 Be 2.42-2.49, 8 Ni 2.46-2.52, 1 Re 2.48
Ni: 0.1305 0.3781 0.3787  8 Ni 2.48-2.58, 3 Re 2.51-2.54, 1 Be 2.52
Ni: 0.6199 0.8708 0.8724  3 Be 2.42-2.49, 8 Ni 2.46-2.52, 1 Re 2.48
Ni: 0.1292 0.3801 0.8724  3 Be 2.42-2.49, 8 Ni 2.46-2.52, 1 Re 2.48
Ni: 0.1292 0.3801 0.6276  3 Be 2.42-2.49, 8 Ni 2.46-2.52, 1 Re 2.48

## Properties
total energy = -6.42 eV per atom
SG = Cmmm, No. 65


# 10
Density functional theory data (GGA-PBE) for crystalline FeSiC2 at its relaxed geometry.

Cell lengths 3.0548, 3.0548, 15.2748 Å; angles 90.00, 90.00, 120.00 degrees
With the nearest neighbours (Å) after each atom.
Atoms (fractional coordinates):
C: 0.6667 0.3333 0.6571  3 Si 1.85, 1 Fe 1.96
C: 0.0000 0.0000 0.3237  3 Si 1.85, 1 Fe 1.96
C: 0.3333 0.6667 0.4889  3 Fe 1.87, 1 Si 1.97
Fe: 0.6667 0.3333 0.5291  4 C 1.87-1.96
Si: 0.6667 0.3333 0.0264  4 C 1.85-1.97
Fe: 0.0000 0.0000 0.1957  4 C 1.87-1.96
C: 0.6667 0.3333 0.1556  3 Fe 1.87, 1 Si 1.97
Si: 0.3333 0.6667 0.3597  4 C 1.85-1.97
Fe: 0.3333 0.6667 0.8624  4 C 1.87-1.96
C: 0.0000 0.0000 0.8223  3 Fe 1.87, 1 Si 1.97
C: 0.3333 0.6667 0.9904  3 Si 1.85, 1 Fe 1.96
Si: 0.0000 0.0000 0.6930  4 C 1.85-1.97

## Properties
formation energy without anion corrections = 0.37 eV/atom
total energy = -7.71 eV per atom
SG = R3m, No. 160